## Ba2ZnRuO5 (PBE-GGA)

Data for Ba2ZnRuO5 after structural relaxation.

abc: 3.457 7.847 10.648
angles: 90.00 90.00 102.73
Each line ends with the local moment (μB).
Sites, in units of the cell vectors:
O: 0.713 0.427 0.130  0.06
O: 0.078 0.156 0.039  0.06
O: 0.303 0.606 0.393  0.04
O: 0.697 0.394 0.893  0.04
O: 0.662 0.323 0.502  0.27
O: 0.496 0.992 0.294  0.02
O: 0.287 0.573 0.630  0.06
O: 0.338 0.677 0.002  0.27
O: 0.504 0.008 0.794  0.02
O: 0.922 0.844 0.539  0.06
Ru: 0.214 0.427 0.013  1.38
Ru: 0.786 0.573 0.513  1.38
Zn: 0.443 0.885 0.457  0.01
Zn: 0.557 0.115 0.957  0.01
Ba: 0.119 0.237 0.698  0.01
Ba: 0.881 0.763 0.198  0.01
Ba: 0.872 0.744 0.798  0.01
Ba: 0.128 0.256 0.298  0.01

Values from the calculation:
total DFT energy (no corrections)	-6.129	eV/atom
crystal system	orthorhombic
total magnetic moment	2.01	μB per formula unit
uncorrected formation energy	-1775	meV/atom